The following is a DFT calculation (SCAN) of GeP2OsCl at its PBEsol-relaxed geometry.

abc: 4.473 4.473 5.115
angles: 90.00 90.00 90.00
Fractional positions:
P: 0.000 0.500 0.000
P: 0.500 0.000 0.000
Ge: 0.500 0.500 0.500
Os: 0.000 0.000 0.000
Cl: 0.000 0.000 0.500

Calculated values
space-group type: P4/mmm (123)
M_tot: 0.00 μB per cell
E_form (uncorrected): 665 meV/atom
E: -23.284 eV/atom

The following is a DFT calculation (SCAN) of LiMgIr2 at its PBEsol-relaxed geometry.

abc: 2.733 4.544 4.781
angles: 99.20 90.00 107.50
Fractional positions:
Mg: 0.500 0.000 0.000
Ir: 0.751 0.501 0.734
Ir: 0.249 0.499 0.266
Li: 0.000 0.000 0.500

Calculated values
space-group type: C2/m (12)
M_tot: 0.00 μB per cell
E: -37.736 eV/atom
energy of formation from the pure elements: -345 meV per atom

The following is a DFT calculation (SCAN) of In5Cu24 at its PBEsol-relaxed geometry.

abc: 7.863 7.863 7.863
angles: 109.47 109.47 109.47
Fractional positions:
Cu: 0.622 0.814 0.622
Cu: 0.808 0.186 0.808
Cu: 0.192 0.000 0.378
Cu: 0.378 0.000 0.192
Cu: 0.814 0.622 0.622
Cu: 0.186 0.808 0.808
Cu: 0.000 0.378 0.192
Cu: 0.000 0.192 0.378
Cu: 0.622 0.622 0.814
Cu: 0.808 0.808 0.186
Cu: 0.378 0.192 0.000
Cu: 0.192 0.378 0.000
Cu: 0.596 0.271 0.596
Cu: 0.326 0.729 0.326
Cu: 0.674 0.000 0.404
Cu: 0.404 0.000 0.674
Cu: 0.271 0.596 0.596
Cu: 0.729 0.326 0.326
Cu: 0.000 0.404 0.674
Cu: 0.000 0.674 0.404
Cu: 0.596 0.596 0.271
Cu: 0.326 0.326 0.729
Cu: 0.404 0.674 0.000
Cu: 0.674 0.404 0.000
In: 0.377 0.377 0.377
In: 0.000 0.623 0.000
In: 0.000 0.000 0.623
In: 0.623 0.000 0.000
In: 0.000 0.000 0.000

Calculated values
space-group type: I-43m (217)
M_tot: 0.00 μB per cell
E: -18.276 eV/atom
energy of formation from the pure elements: 59 meV per atom

Copy entry 2 word for word.
The following is a DFT calculation (SCAN) of LiMgIr2 at its PBEsol-relaxed geometry.

abc: 2.733 4.544 4.781
angles: 99.20 90.00 107.50
Fractional positions:
Mg: 0.500 0.000 0.000
Ir: 0.751 0.501 0.734
Ir: 0.249 0.499 0.266
Li: 0.000 0.000 0.500

Calculated values
space-group type: C2/m (12)
M_tot: 0.00 μB per cell
E: -37.736 eV/atom
energy of formation from the pure elements: -345 meV per atom